Density functional theory data (PBE) for a relaxed RbYTlF2 crystal.

a = 5.255 Å, b = 6.477 Å, c = 5.255 Å
α = 90.00°, β = 90.00°, γ = 90.00°
Site moments in Bohr magnetons follow the coordinates.
Positions (direct):
Rb 0.000 0.500 0.000  0.03
Tl 0.000 0.000 0.000  0.00
F 0.500 0.000 0.000  0.00
F 0.000 0.000 0.500  0.00
Y 0.500 0.500 0.500  0.49

Computed properties:
D(E_F) ... 0.30 states/eV per atom
Formation energy (no corrections) ... -0.53 eV/atom
Calculated total energy ... -0.238 Ry/atom
Space group ... P4/mmm

=====

Density functional theory data (PBE) for a relaxed RbYTl2F6 crystal.

a = 6.542 Å, b = 6.970 Å, c = 9.500 Å
α = 90.00°, β = 88.94°, γ = 90.00°
Positions (direct):
Tl 0.010 0.960 0.260
Tl 0.510 0.540 0.760
Tl 0.490 0.460 0.240
Tl 0.990 0.040 0.740
F 0.848 0.763 0.925
F 0.152 0.237 0.075
F 0.887 0.564 0.216
F 0.348 0.737 0.425
F 0.113 0.436 0.784
F 0.387 0.936 0.716
F 0.713 0.344 0.962
F 0.287 0.656 0.038
F 0.613 0.064 0.284
F 0.213 0.156 0.462
F 0.787 0.844 0.538
F 0.652 0.263 0.575
Y 0.000 0.500 0.000
Y 0.500 0.000 0.500
Rb 0.500 0.000 0.000
Rb 0.000 0.500 0.500

Computed properties:
D(E_F) ... 0.00 states/eV per atom
Formation energy (no corrections) ... -2.92 eV/atom
Calculated total energy ... -0.386 Ry/atom
Space group ... P2_1/c

=====

Density functional theory data (PBE) for a relaxed RbTl3Zn2F9 crystal.

a = 6.016 Å, b = 6.016 Å, c = 8.653 Å
α = 90.00°, β = 90.00°, γ = 120.00°
Positions (direct):
F 0.500 0.500 0.000
F 0.838 0.676 0.754
F 0.324 0.162 0.754
F 0.500 0.000 0.000
F 0.676 0.838 0.246
F 0.000 0.500 0.000
F 0.162 0.324 0.246
F 0.162 0.838 0.246
F 0.838 0.162 0.754
Tl 0.000 0.000 0.000
Tl 0.333 0.667 0.743
Tl 0.667 0.333 0.257
Zn 0.333 0.667 0.145
Zn 0.667 0.333 0.855
Rb 0.000 0.000 0.500

Computed properties:
D(E_F) ... 0.30 states/eV per atom
Formation energy (no corrections) ... -2.06 eV/atom
Calculated total energy ... -0.286 Ry/atom
Space group ... P-3m1